First-principles (PBE-GGA) data for an optimized crystal structure of Ba2ZrMo, as listed in Alexandria via LeMat-Bulk.

Values from the calculation:
For the total moment, the calculation gives 0.00 μB/f.u. The space group is No. 12. As for the energy of formation from the pure elements: 111 kJ/mol of atoms.

Lattice parameters (Å, degrees): 6.546 6.546 3.198 90.12 90.12 122.37
Positions (direct):
Ba 0.000 0.500 0.000
Ba 0.500 0.000 0.000
Zr 0.000 0.000 0.500
Mo 0.500 0.500 0.500